a:
! GGA-PBE Y2HoPt, optimized geometry; values from VASP
! total moment: 0.000 μB/atom
! mass density: 8.30 g/cm3
! density of states at the Fermi level: 1.258 states/eV/atom
&SYSTEM
  ibrav = 0, nat = 4, ntyp = 3
/
ATOMIC_SPECIES
Y 88.91 Y.upf
Ho 164.93 Ho.upf
Pt 195.08 Pt.upf
CELL_PARAMETERS angstrom
-1.646 0.622 3.114
2.616 -1.722 1.727
4.232 7.225 0.794
ATOMIC_POSITIONS crystal
Y 0.000 0.000 0.803
Y 0.000 0.000 0.197
Ho 0.500 0.500 0.500
Pt 0.500 0.500 0.000

b:
! GGA-PBE Y2HoPt, optimized geometry; values from VASP
! total moment: 0.000 μB/atom
! mass density: 8.10 g/cm3
! density of states at the Fermi level: 1.112 states/eV/atom
&SYSTEM
  ibrav = 0, nat = 16, ntyp = 3
/
ATOMIC_SPECIES
Y 88.91 Y.upf
Ho 164.93 Ho.upf
Pt 195.08 Pt.upf
CELL_PARAMETERS angstrom
6.514 0.000 0.000
0.000 7.042 0.000
0.000 0.000 9.609
ATOMIC_POSITIONS crystal
Y 0.180 0.680 0.061
Y 0.320 0.180 0.439
Y 0.820 0.320 0.561
Y 0.680 0.820 0.939
Y 0.820 0.320 0.939
Y 0.680 0.820 0.561
Y 0.180 0.680 0.439
Y 0.320 0.180 0.061
Ho 0.632 0.528 0.250
Ho 0.868 0.028 0.250
Ho 0.368 0.472 0.750
Ho 0.132 0.972 0.750
Pt 0.045 0.388 0.250
Pt 0.455 0.888 0.250
Pt 0.955 0.612 0.750
Pt 0.545 0.112 0.750

c:
! GGA-PBE Y2HoPt, optimized geometry; values from VASP
! total moment: 0.000 μB/atom
! mass density: 7.57 g/cm3
! density of states at the Fermi level: 1.371 states/eV/atom
&SYSTEM
  ibrav = 0, nat = 4, ntyp = 3
/
ATOMIC_SPECIES
Y 88.91 Y.upf
Ho 164.93 Ho.upf
Pt 195.08 Pt.upf
CELL_PARAMETERS angstrom
3.779 0.000 0.000
1.890 3.273 0.000
1.890 1.091 9.533
ATOMIC_POSITIONS crystal
Y 0.270 0.270 0.189
Y 0.730 0.730 0.811
Ho 0.500 0.500 0.500
Pt 0.000 0.000 0.000

Stability check: which of them is most stable? b.

a:
! GGA-PBE Y2HoPt, optimized geometry; values from VASP
! total moment: 0.000 μB/atom
! mass density: 8.15 g/cm3
! density of states at the Fermi level: 1.394 states/eV/atom
&SYSTEM
  ibrav = 0, nat = 8, ntyp = 3
/
ATOMIC_SPECIES
Y 88.91 Y.upf
Ho 164.93 Ho.upf
Pt 195.08 Pt.upf
CELL_PARAMETERS angstrom
3.756 -0.156 0.000
-1.623 6.165 0.000
0.000 0.000 9.572
ATOMIC_POSITIONS crystal
Y 0.136 0.272 0.435
Y 0.864 0.728 0.565
Y 0.864 0.728 0.935
Y 0.136 0.272 0.065
Ho 0.425 0.850 0.250
Ho 0.575 0.150 0.750
Pt 0.744 0.488 0.250
Pt 0.256 0.512 0.750

b:
! GGA-PBE Y2HoPt, optimized geometry; values from VASP
! total moment: 0.000 μB/atom
! mass density: 7.48 g/cm3
! density of states at the Fermi level: 1.373 states/eV/atom
&SYSTEM
  ibrav = 0, nat = 4, ntyp = 3
/
ATOMIC_SPECIES
Y 88.91 Y.upf
Ho 164.93 Ho.upf
Pt 195.08 Pt.upf
CELL_PARAMETERS angstrom
-0.711 -2.745 2.670
2.455 -0.498 2.983
-4.163 4.921 6.791
ATOMIC_POSITIONS crystal
Y 0.062 0.062 0.815
Y 0.271 0.271 0.187
Ho 0.501 0.501 0.495
Pt 0.666 0.666 0.002

Stability check: which of them is most stable? a.

a:
! GGA-PBE YHo2Pt, optimized geometry; values from VASP
! total moment: 0.000 μB/atom
! mass density: 8.67 g/cm3
! density of states at the Fermi level: 1.324 states/eV/atom
&SYSTEM
  ibrav = 0, nat = 4, ntyp = 3
/
ATOMIC_SPECIES
Y 88.91 Y.upf
Ho 164.93 Ho.upf
Pt 195.08 Pt.upf
CELL_PARAMETERS angstrom
-2.430 -2.104 -2.013
0.024 -3.776 0.347
-7.115 -1.358 6.436
ATOMIC_POSITIONS crystal
Y 0.500 0.500 0.500
Ho 0.271 0.271 0.186
Ho 0.729 0.729 0.814
Pt 0.000 0.000 0.000

b:
! GGA-PBE YHo2Pt, optimized geometry; values from VASP
! total moment: 0.000 μB/atom
! mass density: 9.56 g/cm3
! density of states at the Fermi level: 1.235 states/eV/atom
&SYSTEM
  ibrav = 0, nat = 4, ntyp = 3
/
ATOMIC_SPECIES
Y 88.91 Y.upf
Ho 164.93 Ho.upf
Pt 195.08 Pt.upf
CELL_PARAMETERS angstrom
3.565 0.000 0.000
0.000 3.565 0.000
0.000 0.000 8.390
ATOMIC_POSITIONS crystal
Y 0.500 0.500 0.500
Ho 0.000 0.000 0.806
Ho 0.000 0.000 0.194
Pt 0.500 0.500 0.000

c:
! GGA-PBE YHo2Pt, optimized geometry; values from VASP
! total moment: 0.000 μB/atom
! mass density: 9.36 g/cm3
! density of states at the Fermi level: 1.109 states/eV/atom
&SYSTEM
  ibrav = 0, nat = 16, ntyp = 3
/
ATOMIC_SPECIES
Y 88.91 Y.upf
Ho 164.93 Ho.upf
Pt 195.08 Pt.upf
CELL_PARAMETERS angstrom
-4.287 -3.059 3.760
2.765 -6.199 -1.891
6.096 0.480 7.340
ATOMIC_POSITIONS crystal
Y 0.629 0.524 0.250
Y 0.871 0.024 0.250
Y 0.371 0.476 0.750
Y 0.129 0.976 0.750
Ho 0.178 0.680 0.061
Ho 0.322 0.180 0.439
Ho 0.822 0.320 0.561
Ho 0.678 0.820 0.939
Ho 0.822 0.320 0.939
Ho 0.678 0.820 0.561
Ho 0.178 0.680 0.439
Ho 0.322 0.180 0.061
Pt 0.054 0.389 0.250
Pt 0.446 0.889 0.250
Pt 0.946 0.611 0.750
Pt 0.554 0.111 0.750

Stability check: which of them is most stable? c.

a:
! GGA-PBE YHo2Pt, optimized geometry; values from VASP
! total moment: 0.000 μB/atom
! mass density: 9.51 g/cm3
! density of states at the Fermi level: 1.221 states/eV/atom
&SYSTEM
  ibrav = 0, nat = 8, ntyp = 3
/
ATOMIC_SPECIES
Y 88.91 Y.upf
Ho 164.93 Ho.upf
Pt 195.08 Pt.upf
CELL_PARAMETERS angstrom
3.810 -0.160 0.000
-1.652 6.146 0.000
0.000 0.000 9.256
ATOMIC_POSITIONS crystal
Y 0.434 0.868 0.250
Y 0.566 0.132 0.750
Ho 0.138 0.275 0.438
Ho 0.862 0.725 0.562
Ho 0.862 0.725 0.938
Ho 0.138 0.275 0.062
Pt 0.740 0.479 0.250
Pt 0.260 0.521 0.750

b:
! GGA-PBE YHo2Pt, optimized geometry; values from VASP
! total moment: 0.000 μB/atom
! mass density: 8.57 g/cm3
! density of states at the Fermi level: 1.285 states/eV/atom
&SYSTEM
  ibrav = 0, nat = 4, ntyp = 3
/
ATOMIC_SPECIES
Y 88.91 Y.upf
Ho 164.93 Ho.upf
Pt 195.08 Pt.upf
CELL_PARAMETERS angstrom
-2.595 2.137 -1.991
0.383 0.437 -3.864
-5.763 -6.483 -3.281
ATOMIC_POSITIONS crystal
Y 0.502 0.502 0.495
Ho 0.060 0.060 0.819
Ho 0.272 0.272 0.183
Pt 0.666 0.666 0.003

Stability check: which of them is most stable? a.

a:
! GGA-PBE YHoPt2, optimized geometry; values from VASP
! total moment: 0.000 μB/atom
! mass density: 12.01 g/cm3
! density of states at the Fermi level: 0.746 states/eV/atom
&SYSTEM
  ibrav = 0, nat = 4, ntyp = 3
/
ATOMIC_SPECIES
Y 88.91 Y.upf
Ho 164.93 Ho.upf
Pt 195.08 Pt.upf
CELL_PARAMETERS angstrom
3.789 0.000 -0.027
0.000 4.448 0.000
-1.862 0.000 5.295
ATOMIC_POSITIONS crystal
Y 0.722 0.000 0.983
Ho 0.444 0.500 0.428
Pt 0.170 0.500 0.878
Pt 0.995 0.000 0.529

b:
! GGA-PBE YHoPt2, optimized geometry; values from VASP
! total moment: 0.000 μB/atom
! mass density: 12.58 g/cm3
! density of states at the Fermi level: 0.527 states/eV/atom
&SYSTEM
  ibrav = 0, nat = 4, ntyp = 3
/
ATOMIC_SPECIES
Y 88.91 Y.upf
Ho 164.93 Ho.upf
Pt 195.08 Pt.upf
CELL_PARAMETERS angstrom
3.449 0.000 0.000
0.000 4.964 0.000
0.000 0.000 4.964
ATOMIC_POSITIONS crystal
Y 0.500 0.500 0.500
Ho 0.500 0.000 0.000
Pt 0.000 0.000 0.500
Pt 0.000 0.500 0.000

Stability check: which of them is most stable? a.

a:
! GGA-PBE YHoPt2, optimized geometry; values from VASP
! total moment: 0.000 μB/atom
! mass density: 12.55 g/cm3
! density of states at the Fermi level: 0.656 states/eV/atom
&SYSTEM
  ibrav = 0, nat = 4, ntyp = 3
/
ATOMIC_SPECIES
Y 88.91 Y.upf
Ho 164.93 Ho.upf
Pt 195.08 Pt.upf
CELL_PARAMETERS angstrom
-2.531 4.216 0.468
-4.697 -0.096 1.526
-1.173 1.691 4.491
ATOMIC_POSITIONS crystal
Y 0.500 0.500 0.500
Ho 0.000 0.000 0.000
Pt 0.250 0.250 0.250
Pt 0.750 0.750 0.750

b:
! GGA-PBE YHoPt2, optimized geometry; values from VASP
! total moment: 0.000 μB/atom
! mass density: 11.13 g/cm3
! density of states at the Fermi level: 0.570 states/eV/atom
&SYSTEM
  ibrav = 0, nat = 4, ntyp = 3
/
ATOMIC_SPECIES
Y 88.91 Y.upf
Ho 164.93 Ho.upf
Pt 195.08 Pt.upf
CELL_PARAMETERS angstrom
4.021 0.000 0.000
2.010 3.482 0.000
2.010 1.161 6.862
ATOMIC_POSITIONS crystal
Y 0.497 0.497 0.508
Ho 0.669 0.669 0.992
Pt 0.084 0.084 0.749
Pt 0.250 0.250 0.251

Stability check: which of them is most stable? a.

a:
! GGA-PBE HoZn2Pt2, optimized geometry; values from VASP
! total moment: 0.000 μB/atom
! mass density: 12.44 g/cm3
! density of states at the Fermi level: 0.439 states/eV/atom
&SYSTEM
  ibrav = 0, nat = 5, ntyp = 3
/
ATOMIC_SPECIES
Ho 164.93 Ho.upf
Zn 65.41 Zn.upf
Pt 195.08 Pt.upf
CELL_PARAMETERS angstrom
3.788 0.000 0.000
0.000 3.788 0.000
-1.894 -1.894 6.383
ATOMIC_POSITIONS crystal
Ho 0.000 0.000 0.000
Zn 0.750 0.250 0.500
Zn 0.250 0.750 0.500
Pt 0.606 0.606 0.213
Pt 0.394 0.394 0.787

b:
! GGA-PBE HoZn2Pt2, optimized geometry; values from VASP
! total moment: 0.000 μB/atom
! mass density: 12.57 g/cm3
! density of states at the Fermi level: 0.361 states/eV/atom
&SYSTEM
  ibrav = 0, nat = 10, ntyp = 3
/
ATOMIC_SPECIES
Ho 164.93 Ho.upf
Zn 65.41 Zn.upf
Pt 195.08 Pt.upf
CELL_PARAMETERS angstrom
4.605 0.000 0.000
0.000 4.846 0.184
0.000 1.247 8.168
ATOMIC_POSITIONS crystal
Ho 0.250 0.698 0.227
Ho 0.750 0.302 0.773
Zn 0.250 0.835 0.849
Zn 0.750 0.165 0.151
Zn 0.250 0.142 0.501
Zn 0.750 0.858 0.499
Pt 0.250 0.612 0.593
Pt 0.750 0.388 0.407
Pt 0.250 0.290 0.995
Pt 0.750 0.710 0.005

Stability check: which of them is most stable? a.

a:
! GGA-PBE HoZn4Pt, optimized geometry; values from VASP
! total moment: 0.000 μB/atom
! mass density: 10.52 g/cm3
! density of states at the Fermi level: 0.803 states/eV/atom
&SYSTEM
  ibrav = 0, nat = 6, ntyp = 3
/
ATOMIC_SPECIES
Zn 65.41 Zn.upf
Ho 164.93 Ho.upf
Pt 195.08 Pt.upf
CELL_PARAMETERS angstrom
5.177 0.000 0.000
2.588 4.483 0.000
2.588 1.494 4.227
ATOMIC_POSITIONS crystal
Zn 0.626 0.626 0.123
Zn 0.626 0.123 0.626
Zn 0.626 0.626 0.626
Zn 0.123 0.626 0.626
Ho 0.250 0.250 0.250
Pt 0.000 0.000 0.000

b:
! GGA-PBE HoZn4Pt, optimized geometry; values from VASP
! total moment: 0.000 μB/atom
! mass density: 9.49 g/cm3
! density of states at the Fermi level: 0.215 states/eV/atom
&SYSTEM
  ibrav = 0, nat = 12, ntyp = 3
/
ATOMIC_SPECIES
Ho 164.93 Ho.upf
Zn 65.41 Zn.upf
Pt 195.08 Pt.upf
CELL_PARAMETERS angstrom
4.632 0.000 0.000
0.000 6.945 0.000
-2.316 0.000 6.759
ATOMIC_POSITIONS crystal
Ho 0.381 0.750 0.761
Ho 0.619 0.250 0.239
Zn 0.228 0.419 0.456
Zn 0.772 0.581 0.544
Zn 0.228 0.081 0.456
Zn 0.772 0.919 0.544
Zn 0.587 0.750 0.174
Zn 0.413 0.250 0.826
Zn 0.000 0.500 0.000
Zn 0.000 0.000 0.000
Pt 0.155 0.750 0.310
Pt 0.845 0.250 0.690

Stability check: which of them is most stable? a.

a:
! GGA-PBE Ho5Pu, optimized geometry; values from VASP
! total moment: 1.035 μB/atom
! mass density: 9.78 g/cm3
! density of states at the Fermi level: 2.082 states/eV/atom
&SYSTEM
  ibrav = 0, nat = 6, ntyp = 2
/
ATOMIC_SPECIES
Ho 164.93 Ho.upf
Pu 244.00 Pu.upf
CELL_PARAMETERS angstrom
-2.826 0.316 2.018
-1.114 -4.564 -3.856
5.358 -2.579 7.907
ATOMIC_POSITIONS crystal
Ho 0.665 0.330 0.837
Ho 0.334 0.668 0.671
Ho 0.000 0.000 0.500
Ho 0.666 0.332 0.329
Ho 0.335 0.670 0.163
Pu 0.000 0.000 0.000

b:
! GGA-PBE Ho5Pu, optimized geometry; values from VASP
! total moment: 1.062 μB/atom
! mass density: 9.77 g/cm3
! density of states at the Fermi level: 2.532 states/eV/atom
&SYSTEM
  ibrav = 0, nat = 6, ntyp = 2
/
ATOMIC_SPECIES
Ho 164.93 Ho.upf
Pu 244.00 Pu.upf
CELL_PARAMETERS angstrom
4.959 0.000 0.000
0.000 4.966 0.000
0.000 -2.483 7.377
ATOMIC_POSITIONS crystal
Ho 0.000 0.665 0.330
Ho 0.000 0.335 0.670
Ho 0.500 0.500 0.000
Ho 0.500 0.164 0.328
Ho 0.500 0.836 0.672
Pu 0.000 0.000 0.000

Stability check: which of them is most stable? a.

a:
! GGA-PBE HoPuTlRh, optimized geometry; values from VASP
! total moment: 1.342 μB/atom
! mass density: 12.52 g/cm3
! density of states at the Fermi level: 2.379 states/eV/atom
&SYSTEM
  ibrav = 0, nat = 4, ntyp = 4
/
ATOMIC_SPECIES
Tl 204.38 Tl.upf
Rh 102.91 Rh.upf
Ho 164.93 Ho.upf
Pu 244.00 Pu.upf
CELL_PARAMETERS angstrom
5.122 0.000 0.000
2.561 4.436 0.000
2.561 1.479 4.182
ATOMIC_POSITIONS crystal
Tl 0.000 0.000 0.000
Rh 0.500 0.500 0.500
Ho 0.250 0.250 0.250
Pu 0.750 0.750 0.750

b:
! GGA-PBE HoPuTlRh, optimized geometry; values from VASP
! total moment: 1.387 μB/atom
! mass density: 12.54 g/cm3
! density of states at the Fermi level: 2.374 states/eV/atom
&SYSTEM
  ibrav = 0, nat = 4, ntyp = 4
/
ATOMIC_SPECIES
Ho 164.93 Ho.upf
Pu 244.00 Pu.upf
Tl 204.38 Tl.upf
Rh 102.91 Rh.upf
CELL_PARAMETERS angstrom
-1.850 0.687 -2.743
0.644 -3.089 -1.208
-6.771 -2.912 3.836
ATOMIC_POSITIONS crystal
Ho 0.500 0.500 0.778
Pu 0.500 0.500 0.359
Tl 0.000 0.000 0.066
Rh 0.000 0.000 0.581

Stability check: which of them is most stable? b.

a:
! GGA-PBE Ho2Pu2Ru3, optimized geometry; values from VASP
! total moment: 1.226 μB/atom
! mass density: 12.23 g/cm3
! density of states at the Fermi level: 1.779 states/eV/atom
&SYSTEM
  ibrav = 0, nat = 7, ntyp = 3
/
ATOMIC_SPECIES
Ho 164.93 Ho.upf
Pu 244.00 Pu.upf
Ru 101.07 Ru.upf
CELL_PARAMETERS angstrom
-1.362 -2.772 3.439
1.561 -1.816 -3.951
8.041 2.448 2.049
ATOMIC_POSITIONS crystal
Ho 0.252 0.126 0.378
Ho 0.748 0.874 0.622
Pu 0.755 0.378 0.133
Pu 0.245 0.622 0.867
Ru 0.000 0.000 0.000
Ru 0.513 0.257 0.770
Ru 0.487 0.743 0.230

b:
! GGA-PBE Ho2Pu2Ru3, optimized geometry; values from VASP
! total moment: 0.321 μB/atom
! mass density: 13.54 g/cm3
! density of states at the Fermi level: 1.501 states/eV/atom
&SYSTEM
  ibrav = 0, nat = 7, ntyp = 3
/
ATOMIC_SPECIES
Ho 164.93 Ho.upf
Pu 244.00 Pu.upf
Ru 101.07 Ru.upf
CELL_PARAMETERS angstrom
4.908 -0.006 0.001
-2.448 4.836 -1.032
-0.004 -1.990 6.222
ATOMIC_POSITIONS crystal
Ho 0.663 0.327 0.799
Ho 0.337 0.673 0.201
Pu 0.907 0.814 0.555
Pu 0.093 0.186 0.445
Ru 0.000 0.000 0.000
Ru 0.642 0.284 0.234
Ru 0.358 0.716 0.766

Stability check: which of them is most stable? a.

a:
! GGA-PBE HoPu2Ru, optimized geometry; values from VASP
! total moment: 2.771 μB/atom
! mass density: 12.40 g/cm3
! density of states at the Fermi level: 3.270 states/eV/atom
&SYSTEM
  ibrav = 0, nat = 4, ntyp = 3
/
ATOMIC_SPECIES
Ru 101.07 Ru.upf
Ho 164.93 Ho.upf
Pu 244.00 Pu.upf
CELL_PARAMETERS angstrom
3.341 0.000 0.000
1.670 2.893 0.000
1.670 0.964 10.445
ATOMIC_POSITIONS crystal
Ru 0.500 0.500 0.500
Ho 0.000 0.000 0.000
Pu 0.101 0.101 0.696
Pu 0.899 0.899 0.304

b:
! GGA-PBE HoPu2Ru, optimized geometry; values from VASP
! total moment: 2.715 μB/atom
! mass density: 12.89 g/cm3
! density of states at the Fermi level: 2.820 states/eV/atom
&SYSTEM
  ibrav = 0, nat = 4, ntyp = 3
/
ATOMIC_SPECIES
Ru 101.07 Ru.upf
Ho 164.93 Ho.upf
Pu 244.00 Pu.upf
CELL_PARAMETERS angstrom
3.344 0.000 0.000
0.000 3.344 0.000
0.000 0.000 8.688
ATOMIC_POSITIONS crystal
Ru 0.500 0.500 0.000
Ho 0.500 0.500 0.500
Pu 0.000 0.000 0.803
Pu 0.000 0.000 0.197

Stability check: which of them is most stable? b.